Record 1
CdTcNiSn, optimized geometry, DFT PBE; space-group type = F-43m (216); electronic total energy = -5.01 eV per atom
1.0
-3.348 0.149 3.043
-4.297 0.347 -1.379
-2.811 -3.519 0.446
Tc Sn Cd Ni
1 1 1 1
Direct
0.250 0.250 0.250 Tc
0.000 0.000 0.000 Sn
0.500 0.500 0.500 Cd
0.750 0.750 0.750 Ni

---

Record 2
SrCd2Ni, optimized geometry, DFT PBE; space-group type = F-43m (216); electronic total energy = -2.22 eV per atom
1.0
2.497 1.441 4.077
-2.497 1.441 4.077
0.000 -2.883 4.077
Cd Sr Ni
2 1 1
Direct
0.750 0.750 0.750 Cd
0.000 0.000 0.000 Cd
0.250 0.250 0.250 Sr
0.500 0.500 0.500 Ni

---

Record 3
SrCdNiTe3, optimized geometry, DFT PBE; energy above the most stable polymorph in this dataset = 121 meV/atom; space-group type = Cmcm (63); electronic total energy = -3.39 eV per atom
1.0
-3.287 6.551 1.826
-0.877 -7.405 -1.201
1.994 -1.957 10.614
Te Ni Sr Cd
6 2 2 2
Direct
0.129 0.871 0.033 Te
0.871 0.129 0.533 Te
0.871 0.129 0.967 Te
0.591 0.409 0.750 Te
0.129 0.871 0.467 Te
0.409 0.591 0.250 Te
0.500 0.500 0.500 Ni
0.500 0.500 0.000 Ni
0.731 0.269 0.250 Sr
0.269 0.731 0.750 Sr
0.970 0.030 0.750 Cd
0.030 0.970 0.250 Cd

---

Record 4
SrCdNiTe3, optimized geometry, DFT PBE; energy above the most stable polymorph in this dataset = 0 meV/atom; space-group type = Cmcm (63); electronic total energy = -3.51 eV per atom
1.0
-2.298 -0.387 -3.617
-1.520 -6.789 -0.867
-9.895 1.432 6.133
Te Sr Cd Ni
6 2 2 2
Direct
0.351 0.298 0.938 Te
0.649 0.702 0.062 Te
0.351 0.298 0.562 Te
0.947 0.105 0.250 Te
0.053 0.895 0.750 Te
0.649 0.702 0.438 Te
0.753 0.494 0.750 Sr
0.247 0.506 0.250 Sr
0.000 0.000 0.500 Cd
0.000 0.000 0.000 Cd
0.546 0.908 0.250 Ni
0.454 0.092 0.750 Ni

---

Record 5
TaTlCdNi, optimized geometry, DFT PBE; space-group type = F-43m (216); electronic total energy = -4.54 eV per atom
1.0
3.181 1.162 3.247
1.523 4.427 0.314
-1.247 2.656 3.661
Ta Tl Ni Cd
1 1 1 1
Direct
0.250 0.250 0.250 Ta
0.000 0.000 0.000 Tl
0.750 0.750 0.750 Ni
0.500 0.500 0.500 Cd

---

Record 6
TaZnCdNi, optimized geometry, DFT PBE; space-group type = F-43m (216); electronic total energy = -4.53 eV per atom
1.0
-1.148 -3.706 -2.204
-0.204 -3.903 2.153
-3.954 -1.919 0.770
Ni Cd Zn Ta
1 1 1 1
Direct
0.750 0.750 0.750 Ni
0.500 0.500 0.500 Cd
0.000 0.000 0.000 Zn
0.250 0.250 0.250 Ta

---

Record 7
Tb2CdNi2, optimized geometry, DFT PBE; space-group type = P4/mbm (127); electronic total energy = -4.70 eV per atom
1.0
-7.324 -0.125 -0.084
0.109 -1.602 -7.148
0.053 -3.647 0.818
Tb Cd Ni
4 2 4
Direct
0.823 0.323 0.500 Tb
0.677 0.823 0.500 Tb
0.177 0.677 0.500 Tb
0.323 0.177 0.500 Tb
0.500 0.500 0.000 Cd
0.000 0.000 0.000 Cd
0.117 0.383 0.000 Ni
0.883 0.617 0.000 Ni
0.617 0.117 0.000 Ni
0.383 0.883 0.000 Ni

---

Record 8
Tb3CdNi8, optimized geometry, DFT PBE; space-group type = R3m (160); electronic total energy = -5.35 eV per atom
1.0
2.506 1.447 8.228
-2.506 1.447 8.228
0.000 -2.894 8.228
Ni Tb Cd
8 3 1
Direct
0.059 0.564 0.564 Ni
0.562 0.063 0.063 Ni
0.063 0.063 0.562 Ni
0.564 0.564 0.059 Ni
0.312 0.312 0.312 Ni
0.564 0.059 0.564 Ni
0.063 0.562 0.063 Ni
0.812 0.812 0.812 Ni
0.006 0.006 0.006 Tb
0.495 0.495 0.495 Tb
0.623 0.623 0.623 Tb
0.127 0.127 0.127 Cd